# 1
Compound: Rb3NaI
Source: Alexandria via LeMat-Bulk
Functional: PBE
Structure: optimized geometry

Values from the calculation:
ρ = 1.81 g/cm3
Uncorrected formation energy = -0.4963 eV per atom
Distance to the lowest polymorph of the same formula = 0 meV per atom

abc: 7.193 7.193 7.193
angles: 90.00 90.00 90.00
Space group Pm-3m (No. 221)
Asymmetric unit:
Rb1 0.000 0.000 0.500 [3 per cell]
Na1 0.500 0.500 0.500 [1 per cell]
I1 0.000 0.000 0.000 [1 per cell]

# 2
Compound: RbNaReI6
Source: Alexandria via LeMat-Bulk
Functional: PBE
Structure: optimized geometry

Values from the calculation:
ρ = 4.17 g/cm3
Uncorrected formation energy = -0.5482 eV per atom

abc: 7.9666 7.9666 15.2943
angles: 90.00 90.00 120.00
Space group P-31c (No. 163)
Asymmetric unit:
Rb1 0.0000 0.0000 0.0000 [2 per cell]
Na1 0.3333 0.6667 0.2500 [2 per cell]
Re1 0.3333 0.6667 0.7500 [2 per cell]
I1 0.0449 0.3951 0.6450 [12 per cell]

# 3
Compound: Rb2NaReI6
Source: Alexandria via LeMat-Bulk
Functional: PBE
Structure: optimized geometry

Values from the calculation:
ρ = 4.62 g/cm3
Uncorrected formation energy = -0.6823 eV per atom

abc: 11.797 11.797 11.797
angles: 90.00 90.00 90.00
Space group Fm-3m (No. 225)
Asymmetric unit:
Rb1 0.250 0.250 0.250 [8 per cell]
Na1 0.000 0.000 0.000 [4 per cell]
Re1 0.000 0.000 0.500 [4 per cell]
I1 0.000 0.000 0.267 [24 per cell]